Record 1
Sr2Ca12Tl7: relaxed, PBE.

Geometry as extended XYZ:
```
21
Lattice="4.210 0.000 0.000 0.000 12.206 -7.047 0.000 0.000 14.094" Properties=species:S:1:pos:R:3 pbc="T T T"
Ca 0.000 9.411 4.912
Ca 2.105 10.839 2.261
Ca 0.000 3.246 -1.353
Ca 2.105 2.800 9.561
Ca 2.105 6.880 6.889
Ca 0.000 11.754 -3.559
Ca 0.000 5.892 9.774
Ca 2.105 4.828 1.209
Ca 0.000 0.795 7.262
Ca 2.105 8.744 -3.470
Ca 0.000 5.519 4.104
Ca 2.105 2.525 4.691
Tl 2.105 7.675 2.984
Tl 2.105 10.952 -1.092
Tl 2.105 5.784 -1.892
Tl 0.000 2.437 1.972
Tl 0.000 0.489 10.998
Tl 0.000 9.280 8.171
Tl 0.000 4.069 7.047
Sr 2.105 0.000 0.000
Sr 0.000 8.137 0.000
```

**Magnetic moment**: 0.00 μB/cell
**Crystal system**: hexagonal
**Calculated formation energy**: -326 meV/atom
**SG**: P-6, No. 174
**ρ**: 4.79 g cm⁻³



Record 2
SrCa6Tl: relaxed, PBE.

Geometry as extended XYZ:
```
8
Lattice="-3.610 -2.094 0.541 -0.307 -1.676 -8.543 4.467 -7.364 1.303" Properties=species:S:1:pos:R:3 pbc="T T T"
Ca 2.420 -5.834 -6.439
Ca 2.536 -5.063 -2.680
Ca -0.122 -4.110 -0.357
Ca 2.019 -7.644 0.247
Ca 1.882 -8.466 -3.846
Ca 0.568 -1.810 -3.216
Sr 0.400 -2.519 -7.084
Tl -0.285 -4.900 -4.504
```

**Magnetic moment**: 0.00 μB/cell
**Crystal system**: orthorhombic
**Calculated formation energy**: -91 meV/atom
**SG**: Amm2, No. 38
**ρ**: 2.77 g cm⁻³
**Energy relative to the lowest polymorph listed for this composition**: 0.0 meV per atom



Record 3
SrCaTl2: relaxed, PBE.

Geometry as extended XYZ:
```
4
Lattice="-1.020 0.047 -5.540 -0.229 -4.881 2.865 -4.969 -2.500 0.894" Properties=species:S:1:pos:R:3 pbc="T T T"
Tl -3.001 -1.230 -2.322
Tl -6.211 -7.330 -1.782
Ca -1.612 -3.054 0.271
Sr -4.606 -4.280 -2.052
```

**Magnetic moment**: 0.00 μB/cell
**Crystal system**: monoclinic
**Calculated formation energy**: -427 meV/atom
**SG**: C2/m, No. 12
**ρ**: 6.98 g cm⁻³



Record 4
Sr2CaTl2: relaxed, PBE.

Geometry as extended XYZ:
```
10
Lattice="-7.438 -1.443 -5.195 -0.879 -8.409 3.594 -2.526 1.618 3.167" Properties=species:S:1:pos:R:3 pbc="T T T"
Ca -4.159 -4.926 -0.800
Ca 0.000 0.000 0.000
Tl -3.459 -7.781 1.216
Tl -1.338 -3.250 0.593
Tl -4.858 -2.071 -2.817
Tl -6.979 -6.601 -2.194
Sr -3.047 -4.988 3.122
Sr -6.921 -7.195 1.159
Sr -3.922 -1.039 0.407
Sr -7.796 -3.246 -1.556
```

**Magnetic moment**: 0.00 μB/cell
**Crystal system**: tetragonal
**Calculated formation energy**: -350 meV/atom
**SG**: P4/mbm, No. 127
**ρ**: 5.63 g cm⁻³
**Energy relative to the lowest polymorph listed for this composition**: 0.0 meV per atom



Record 5
Sr3CaTl: relaxed, PBE.

Geometry as extended XYZ:
```
10
Lattice="4.166 0.000 -0.771 -0.390 9.106 -2.114 -0.042 0.193 11.443" Properties=species:S:1:pos:R:3 pbc="T T T"
Sr 2.274 4.510 3.639
Sr 1.414 7.415 -1.012
Sr 0.779 2.829 7.228
Sr 0.660 6.867 6.583
Sr 2.155 8.548 2.993
Sr 1.562 3.769 -0.210
Tl 3.136 5.206 8.334
Tl -0.202 6.171 1.887
Ca 3.365 0.832 9.568
Ca -0.041 1.441 2.767
```

**Magnetic moment**: 0.00 μB/cell
**Crystal system**: triclinic
**Calculated formation energy**: -170 meV/atom
**SG**: P-1, No. 2
**ρ**: 3.87 g cm⁻³
**Energy relative to the lowest polymorph listed for this composition**: 0.0 meV per atom



Record 6
Sr3CaTl: relaxed, PBE.

Geometry as extended XYZ:
```
10
Lattice="-5.674 3.177 -5.044 -4.388 -4.951 -4.896 -9.014 -1.379 2.556" Properties=species:S:1:pos:R:3 pbc="T T T"
Sr -10.164 0.473 -1.696
Sr -6.686 -1.116 -3.206
Sr -12.389 -2.036 -4.179
Sr -8.911 -3.627 -5.688
Sr -9.563 0.494 -5.764
Sr -9.512 -3.647 -1.621
Ca -11.455 -1.968 -8.496
Ca -7.621 -1.185 1.111
Tl -12.350 -1.968 -0.776
Tl -6.726 -1.185 -6.608
```

**Magnetic moment**: 0.00 μB/cell
**Crystal system**: trigonal
**Calculated formation energy**: -13 meV/atom
**SG**: R-3m, No. 166
**ρ**: 3.51 g cm⁻³
**Energy relative to the lowest polymorph listed for this composition**: 157.8 meV per atom



Record 7
Sr8CaTl2: relaxed, PBE.

Geometry as extended XYZ:
```
11
Lattice="-3.519 1.355 4.319 -1.182 -8.773 1.790 9.815 3.370 3.133" Properties=species:S:1:pos:R:3 pbc="T T T"
Sr 5.794 -1.281 5.123
Sr -0.680 -2.767 4.120
Sr 2.450 -2.993 6.741
Sr -0.263 -6.288 1.759
Sr 2.664 -1.055 2.502
Sr 0.021 -6.202 5.769
Sr 5.093 2.154 3.474
Sr 5.377 2.240 7.484
Tl 2.257 -4.493 3.249
Tl 2.857 0.446 5.994
Ca -1.760 0.678 2.160
```

**Magnetic moment**: 0.00 μB/cell
**Crystal system**: monoclinic
**Calculated formation energy**: -147 meV/atom
**SG**: C2/m, No. 12
**ρ**: 3.81 g cm⁻³
**Energy relative to the lowest polymorph listed for this composition**: 0.0 meV per atom



Record 8
SrCa2Tl: relaxed, PBE.

Geometry as extended XYZ:
```
16
Lattice="6.750 0.000 0.000 0.000 9.409 0.000 0.000 0.000 9.796" Properties=species:S:1:pos:R:3 pbc="T T T"
Sr 6.098 0.276 2.449
Sr 4.027 4.980 2.449
Sr 0.652 9.133 7.347
Sr 2.723 4.429 7.347
Tl 6.182 5.836 7.347
Tl 2.807 8.278 2.449
Tl 3.943 1.131 7.347
Tl 0.568 3.574 2.449
Ca 0.803 6.320 4.330
Ca 5.947 3.089 9.229
Ca 2.572 1.616 0.568
Ca 4.178 7.794 5.466
Ca 2.572 1.616 4.330
Ca 5.947 3.089 5.466
Ca 4.178 7.794 9.229
Ca 0.803 6.320 0.568
```

**Magnetic moment**: 0.00 μB/cell
**Crystal system**: orthorhombic
**Calculated formation energy**: -252 meV/atom
**SG**: Pnma, No. 62
**ρ**: 3.97 g cm⁻³
**Energy relative to the lowest polymorph listed for this composition**: 0.3 meV per atom



Record 9
SrCaTl2: relaxed, PBE.

Geometry as extended XYZ:
```
4
Lattice="-6.768 0.415 -0.350 -3.150 -1.815 -5.734 4.173 -2.037 4.954" Properties=species:S:1:pos:R:3 pbc="T T T"
Sr -1.795 -2.252 -1.805
Ca -5.116 -0.722 -3.138
Tl -9.727 -1.374 -5.967
Tl -3.983 -1.190 0.654
```

**Magnetic moment**: 0.00 μB/cell
**Crystal system**: orthorhombic
**Calculated formation energy**: -307 meV/atom
**SG**: Imm2, No. 44
**ρ**: 6.77 g cm⁻³



Record 10
SrCa6Tl: relaxed, PBE.

Geometry as extended XYZ:
```
8
Lattice="-3.746 4.503 -4.793 -4.495 -2.087 5.720 6.161 3.545 2.662" Properties=species:S:1:pos:R:3 pbc="T T T"
Sr 0.000 0.000 0.000
Tl -1.040 2.981 1.795
Ca 2.292 3.158 2.143
Ca -4.372 2.804 1.446
Ca -2.595 0.570 3.550
Ca -2.250 3.599 -1.282
Ca 0.514 5.392 0.039
Ca 0.170 2.363 4.871
```

**Magnetic moment**: 0.00 μB/cell
**Crystal system**: monoclinic
**Calculated formation energy**: -37 meV/atom
**SG**: C2/m, No. 12
**ρ**: 2.73 g cm⁻³
**Energy relative to the lowest polymorph listed for this composition**: 53.7 meV per atom



Record 11
SrCaTl: relaxed, PBE.

Geometry as extended XYZ:
```
3
Lattice="-5.045 1.050 -5.338 -2.173 -1.253 -6.983 -2.457 -3.193 0.172" Properties=species:S:1:pos:R:3 pbc="T T T"
Ca -2.611 -3.096 -0.231
Tl -5.590 -1.225 -8.050
Sr -3.931 -2.267 -3.696
```

**Magnetic moment**: 0.00 μB/cell
**Crystal system**: tetragonal
**Calculated formation energy**: -310 meV/atom
**SG**: I4mm, No. 107
**ρ**: 4.95 g cm⁻³



Record 12
SrCa4Tl5: relaxed, PBE.

Geometry as extended XYZ:
```
10
Lattice="-3.513 0.579 -1.683 1.068 -2.293 -3.018 -7.087 -15.677 9.405" Properties=species:S:1:pos:R:3 pbc="T T T"
Tl -6.154 -11.765 4.193
Tl -7.529 -14.806 6.018
Tl -3.379 -5.627 0.511
Tl -4.766 -8.696 2.352
Tl -2.004 -2.586 -1.314
Sr 0.000 0.000 0.000
Ca -1.466 -3.242 1.945
Ca -5.621 -12.435 7.460
Ca -2.850 -6.305 3.783
Ca -4.237 -9.372 5.622
```

**Magnetic moment**: 0.00 μB/cell
**Crystal system**: tetragonal
**Calculated formation energy**: -438 meV/atom
**SG**: P4/mmm, No. 123
**ρ**: 6.93 g cm⁻³